A relaxed structure of NaDy12Co6, computed with GGA-PBE.

## Properties
- Energy: -5.368 eV per atom
- Spin magnetization: 0.000 Bohr magnetons per cell
- Energy of formation from the pure elements: -14 kJ/mol of atoms

POSCAR file:
```
NaDy12Co6
1.0
-4.883 4.883 4.883
4.883 -4.883 4.883
4.883 4.883 -4.883
Na Dy Co
1 12 6
Cartesian
0.000 0.000 0.000
4.883 -1.855 2.959
3.028 1.924 0.000
6.738 1.924 0.000
2.959 4.883 -1.855
1.924 0.000 3.028
4.883 1.855 2.959
0.000 3.028 1.924
2.959 4.883 1.855
1.924 0.000 6.738
-1.855 2.959 4.883
1.855 2.959 4.883
0.000 6.738 1.924
4.883 0.000 1.098
4.883 3.785 0.000
1.098 4.883 0.000
3.785 0.000 4.883
0.000 1.098 4.883
0.000 4.883 3.785
```